(1)
VASP calculation (PBE) on an optimized crystal structure of HgS3Cl.

Lattice parameters (Å, degrees): 5.910 8.523 7.809 129.28 89.97 89.70
Fractional positions:
S1 0.321 0.924 0.258
S2 0.051 0.524 0.081
S3 0.549 0.827 0.017
S4 0.492 0.021 0.532
S5 0.823 0.429 0.841
S6 0.994 0.333 0.567
Cl1 0.974 0.886 0.771
Cl2 0.476 0.467 0.327
Hg1 0.781 0.746 0.403
Hg2 0.282 0.607 0.696

Computed properties:
The total energy comes out at -0.109 hartree per atom. The space-group type is P1, No. 1. The total magnetic moment is 0.000 μB per atom.


(2)
VASP calculation (PBE) on an optimized crystal structure of HgS3Cl.

Lattice parameters (Å, degrees): 5.108 5.108 5.108 90.00 90.00 90.00
Last column: magnetic moment on the atom in μB.
Fractional positions:
Cl1 0.500 0.500 0.500  0.57
Hg1 0.000 0.000 0.000  0.02
S1 0.500 0.000 0.000  0.77
S2 0.000 0.500 0.000  0.69
S3 0.000 0.000 0.500  0.69

Computed properties:
The total energy comes out at -0.067 hartree per atom. The space-group type is Pm-3m, No. 221. The total magnetic moment is 0.823 μB per atom.


| no. | ΔE to the lowest computed polymorph (meV per atom) | formation energy without anion corrections (kJ per mole of atoms) |
| --- | --- | --- |
| 1 | 0 | -6.70 |
| 2 | 1156 | 104.87 |